Entry 1:
This record from the Alexandria database describes a relaxed structure of Pm8AlAg2. The functional is PBE.

Results
* space group: C2/m
* M_tot: 0.000 μB/cell
* electronic total energy: -48.9 eV/cell
* Fermi-level density of states: 10.73 states/eV/cell
* formation energy from the elements: -0.129 eV per atom

Cell and atoms, written as POSCAR:
```
Pm8AlAg2
1.0
5.290 0.000 0.000
0.000 7.235 0.074
-2.645 -3.013 8.614
Pm Al Ag
8 1 2
direct
0.409 0.539 0.817
0.669 0.977 0.339
0.807 0.691 0.614
0.974 0.224 0.948
0.193 0.309 0.386
0.331 0.023 0.661
0.591 0.461 0.183
0.026 0.776 0.052
0.500 0.000 0.000
0.819 0.290 0.639
0.181 0.710 0.361
```



Entry 2:
This record from the Alexandria database describes a relaxed structure of MgAgBr2N. The functional is PBE.

Results
* space group: P4/mmm
* M_tot: 2.159 μB/cell
* electronic total energy: -12.4 eV/cell
* Fermi-level density of states: 1.03 states/eV/cell

Cell and atoms, written as POSCAR:
```
MgAgBr2N
1.0
5.115 0.000 0.000
0.000 5.904 0.000
0.000 0.000 5.115
Mg Br Ag N
1 2 1 1
direct
0.000 0.000 0.000
0.000 0.000 0.500
0.500 0.000 0.000
0.000 0.500 0.000
0.500 0.500 0.500
```



Entry 3:
This record from the Alexandria database describes a relaxed structure of ThNi2Ag. The functional is PBE.

Results
* space group: R-3m
* M_tot: 0.000 μB/cell
* electronic total energy: -22.7 eV/cell
* Fermi-level density of states: 2.76 states/eV/cell
* formation energy from the elements: -0.222 eV per atom

Cell and atoms, written as POSCAR:
```
ThNi2Ag
1.0
-4.353 -0.406 -0.539
-1.929 -3.923 0.536
-2.703 -0.562 4.253
Ni Ag Th
2 1 1
direct
0.791 0.791 0.626
0.209 0.209 0.374
0.500 0.500 0.500
0.000 0.000 0.000
```



Entry 4:
This record from the Alexandria database describes a relaxed structure of K2SrIrSe. The functional is PBE.

Results
* space group: P4/mmm
* M_tot: 1.000 μB/cell
* electronic total energy: -15.7 eV/cell
* Fermi-level density of states: 3.32 states/eV/cell

Cell and atoms, written as POSCAR:
```
K2SrIrSe
1.0
-4.790 0.840 -3.000
-3.122 -0.642 4.805
0.367 5.616 0.988
Sr K Ir Se
1 2 1 1
direct
0.000 0.500 0.000
0.000 0.000 0.500
0.500 0.000 0.000
0.000 0.000 0.000
0.500 0.500 0.500
```